# 1
A relaxed structure of CsPr3Se4, computed with PBE.

Output
* calculated volume: 31.3 Å³ per atom
* Fermi-level density of states: 0.431 states/eV/atom

Cell lengths 4.3474, 4.3474, 30.6213 Å; angles 90.00, 90.00, 120.00 degrees
Space group P6_3/mmc (No. 194)
Unique sites:
Cs: 0.3333 0.6667 0.2500 x2
Pr: 0.0000 0.0000 0.0000 x2
Pr: 0.3333 0.6667 0.6119 x4
Se: 0.0000 0.0000 0.1653 x4
Se: 0.3333 0.6667 0.0562 x4

=====

# 2
A relaxed structure of Cs3PrSe3, computed with PBE.

Output
* calculated volume: 46.9 Å³ per atom
* Fermi-level density of states: 0.000 states/eV/atom

Cell lengths 9.1010, 15.5089, 11.7384 Å; angles 90.00, 127.56, 90.00 degrees
Space group P2_1/c (No. 14)
Unique sites:
Cs: 0.1167 0.1226 0.4732 x4
Cs: 0.1648 0.1151 0.8827 x4
Cs: 0.3318 0.6707 0.5397 x4
Pr: 0.4474 0.0685 0.3349 x4
Se: 0.1732 0.1973 0.1934 x4
Se: 0.3298 0.5987 0.8604 x4
Se: 0.3564 0.5419 0.2755 x4

=====

# 3
A relaxed structure of CsPr4Se6, computed with PBE.

Output
* energy above the most stable polymorph in this dataset: 0.255 eV per atom
* calculated volume: 32.5 Å³ per atom
* Fermi-level density of states: 0.260 states/eV/atom

Cell lengths 8.2672, 8.2672, 10.4602 Å; angles 90.00, 90.00, 90.00 degrees
Space group I-42m (No. 121)
Unique sites:
Cs: 0.0000 0.0000 0.0000 x2
Pr: 0.1927 0.1927 0.3952 x8
Se: 0.0000 0.5000 0.0000 x4
Se: 0.1500 0.1500 0.6821 x8

=====

# 4
A relaxed structure of CsPr2Se3, computed with PBE.

Output
* energy above the most stable polymorph in this dataset: 0.034 eV per atom
* calculated volume: 32.1 Å³ per atom
* Fermi-level density of states: 0.399 states/eV/atom

Cell lengths 7.9334, 4.3149, 11.5699 Å; angles 90.00, 103.39, 90.00 degrees
Space group P2_1/m (No. 11)
Unique sites:
Cs: 0.0268 0.2500 0.3430 x2
Pr: 0.2536 0.2500 0.9927 x2
Pr: 0.5001 0.2500 0.6825 x2
Se: 0.1455 0.7500 0.1409 x2
Se: 0.3208 0.7500 0.5216 x2
Se: 0.3899 0.7500 0.8456 x2

=====

Number 1: raw formation energy -1.7795 eV per atom. Number 2: raw formation energy -1.3990 eV per atom. Number 3: raw formation energy -1.5232 eV per atom. Number 4: raw formation energy -1.6630 eV per atom.